This record from Alexandria via LeMat-Bulk describes a geometry-optimized Ti3VGe structure. The functional is PBE.

It has space group Cmce (No. 64), with a = 8.837 Å, b = 9.311 Å, c = 7.904 Å, α = 90.00°, β = 90.00° and γ = 90.00°. The asymmetric unit holds Ti at (0.000, 0.054, 0.141), Ti at (0.172, 0.123, 0.595), V at (0.000, 0.232, 0.850) and Ge at (0.250, 0.139, 0.250).

The volume is 16.259 Å³/atom. For the calculated formation energy, the calculation gives -178 meV/atom. For the density of states at the Fermi level, the calculation gives 43.986 states/eV per cell. The raw total energy is -7.662 eV per atom. The calculation puts the density at 5.46 g/cm3. As for the excess energy over the best structure of this formula in the dataset: 0.00 kcal/mol of atoms.

=====

This record from Alexandria via LeMat-Bulk describes a geometry-optimized TiV2Ge structure. The functional is PBE.

It has space group P2_1/m (No. 11), with a = 4.184 Å, b = 4.232 Å, c = 7.536 Å, α = 90.00°, β = 105.71° and γ = 90.00°. The asymmetric unit holds Ti at (0.160, 0.250, 0.331), V at (0.042, 0.750, 0.086), V at (0.454, 0.750, 0.906) and Ge at (0.356, 0.250, 0.704).

The volume is 16.060 Å³/atom. For the calculated formation energy, the calculation gives -137 meV/atom. For the density of states at the Fermi level, the calculation gives 8.951 states/eV per cell. The raw total energy is -7.824 eV per atom. The calculation puts the density at 5.75 g/cm3.

=====

This record from Alexandria via LeMat-Bulk describes a geometry-optimized Ti3VGe3 structure. The functional is PBE.

It has space group R3m (No. 160, hexagonal axes), with a = 8.5654 Å, b = 8.5654 Å, c = 5.4075 Å, α = 90.00°, β = 90.00° and γ = 120.00°. The asymmetric unit holds Ti at (0.0617, 0.5308, 0.0000), V at (0.0000, 0.0000, 0.8479) and Ge at (0.0013, 0.5006, 0.4669).

The volume is 16.361 Å³/atom. For the calculated formation energy, the calculation gives -249 meV/atom. For the density of states at the Fermi level, the calculation gives 16.755 states/eV per cell. The raw total energy is -6.914 eV per atom. The calculation puts the density at 5.98 g/cm3.